1.
Below is a geometry-optimized ThBiTe structure, with properties calculated at the PBE level.

Output
As for the total moment: 0.000 μB per atom. Its volume is 90.5 Å³/cell. The density of states at the Fermi level comes out at 2.53 states/eV per cell. The excess energy over the best structure of this formula in the dataset is 173 meV per atom.

a b c (Å): 6.034 6.034 6.034
angles (deg): 139.85 139.85 58.07
Positions (direct):
Th1 0.000 0.000 0.000
Bi1 0.333 0.333 0.000
Te1 0.649 0.649 0.000


2.
Below is a geometry-optimized Np2IrPb structure, with properties calculated at the PBE level.

Output
For the formation energy, the calculation gives 0.05 eV per atom. As for the total moment: 1.983 μB per atom. Its volume is 91.5 Å³/cell. The density of states at the Fermi level comes out at 10.49 states/eV per cell.

a b c (Å): 3.827 3.827 6.246
angles (deg): 90.00 90.00 90.00
Positions (direct):
Np1 0.000 0.000 0.211
Np2 0.000 0.000 0.789
Ir1 0.500 0.500 0.000
Pb1 0.500 0.500 0.500


3.
Below is a geometry-optimized RbLaGa2Cu structure, with properties calculated at the PBE level.

Output
For the formation energy, the calculation gives 0.25 eV per atom. As for the total moment: 0.000 μB per atom. Its volume is 130.2 Å³/cell. The density of states at the Fermi level comes out at 5.04 states/eV per cell.

a b c (Å): 4.875 4.875 5.477
angles (deg): 90.00 90.00 90.00
Positions (direct):
Rb1 0.000 0.000 0.000
La1 0.500 0.500 0.000
Ga1 0.000 0.500 0.500
Ga2 0.500 0.000 0.500
Cu1 0.000 0.000 0.500


4.
Below is a geometry-optimized TlCd2As structure, with properties calculated at the PBE level.

Output
For the formation energy, the calculation gives 0.14 eV per atom. As for the total moment: 0.000 μB per atom. Its volume is 97.8 Å³/cell. The density of states at the Fermi level comes out at 1.31 states/eV per cell. The excess energy over the best structure of this formula in the dataset is 126 meV per atom.

a b c (Å): 5.596 5.596 5.878
angles (deg): 104.68 104.68 33.41
Positions (direct):
Tl1 0.000 0.000 0.000
Cd1 0.509 0.509 0.503
Cd2 0.765 0.765 0.291
As1 0.236 0.236 0.730


5.
Below is a geometry-optimized Ni3Ir structure, with properties calculated at the PBE level.

Output
For the formation energy, the calculation gives 0.05 eV per atom. As for the total moment: 0.368 μB per atom. Its volume is 47.7 Å³/cell. The density of states at the Fermi level comes out at 6.96 states/eV per cell.

a b c (Å): 2.622 2.622 6.941
angles (deg): 90.00 90.00 90.00
Positions (direct):
Ni1 0.000 0.000 0.000
Ni2 0.500 0.500 0.240
Ni3 0.500 0.500 0.760
Ir1 0.000 0.000 0.500


6.
Below is a geometry-optimized Ba2TlP structure, with properties calculated at the PBE level.

Output
For the formation energy, the calculation gives -0.41 eV per atom. As for the total moment: 0.000 μB per atom. Its volume is 171.1 Å³/cell. The density of states at the Fermi level comes out at 1.64 states/eV per cell. The excess energy over the best structure of this formula in the dataset is 216 meV per atom.

a b c (Å): 9.816 9.816 9.816
angles (deg): 26.93 26.93 26.93
Positions (direct):
Ba1 0.000 0.000 0.000
Ba2 0.190 0.190 0.190
Tl1 0.439 0.439 0.439
P1 0.728 0.728 0.728


7.
Below is a geometry-optimized RbBiTeI2 structure, with properties calculated at the PBE level.

Output
As for the total moment: 0.000 μB per atom. Its volume is 238.7 Å³/cell. The density of states at the Fermi level comes out at 1.42 states/eV per cell. The excess energy over the best structure of this formula in the dataset is 0 meV per atom.

a b c (Å): 6.325 6.325 5.967
angles (deg): 90.00 90.00 90.00
Positions (direct):
Rb1 0.000 0.000 0.000
Bi1 0.500 0.500 0.500
Te1 0.500 0.500 0.000
I1 0.000 0.500 0.500
I2 0.500 0.000 0.500


8.
Below is a geometry-optimized TcMo2Ir9 structure, with properties calculated at the PBE level.

Output
For the formation energy, the calculation gives -0.15 eV per atom. As for the total moment: 0.000 μB per atom. Its volume is 176.3 Å³/cell. The density of states at the Fermi level comes out at 10.93 states/eV per cell.

a b c (Å): 4.757 6.144 6.155
angles (deg): 84.50 82.53 82.50
Positions (direct):
Tc1 0.000 0.000 0.000
Mo1 0.248 0.590 0.911
Mo2 0.752 0.410 0.089
Ir1 0.000 0.331 0.673
Ir2 0.000 0.669 0.327
Ir3 0.249 0.918 0.585
Ir4 0.250 0.257 0.242
Ir5 0.497 0.168 0.834
Ir6 0.500 0.500 0.500
Ir7 0.503 0.832 0.166
Ir8 0.750 0.743 0.758
Ir9 0.751 0.082 0.415


9.
Below is a geometry-optimized K4MoAu structure, with properties calculated at the PBE level.

Output
For the formation energy, the calculation gives 1.01 eV per atom. As for the total moment: 0.863 μB per atom. Its volume is 255.3 Å³/cell. The density of states at the Fermi level comes out at 2.21 states/eV per cell.

a b c (Å): 7.121 7.121 7.121
angles (deg): 60.00 60.00 60.00
Positions (direct):
K1 0.376 0.376 0.376
K2 0.376 0.376 0.873
K3 0.376 0.873 0.376
K4 0.873 0.376 0.376
Mo1 0.000 0.000 0.000
Au1 0.750 0.750 0.750


10.
Below is a geometry-optimized Er3ThRu3 structure, with properties calculated at the PBE level.

Output
For the formation energy, the calculation gives -0.46 eV per atom. As for the total moment: 0.000 μB per atom. Its volume is 154.8 Å³/cell. The density of states at the Fermi level comes out at 4.65 states/eV per cell.

a b c (Å): 5.820 5.820 5.820
angles (deg): 108.92 108.92 108.92
Positions (direct):
Er1 0.060 0.470 0.470
Er2 0.470 0.060 0.470
Er3 0.470 0.470 0.060
Th1 0.880 0.880 0.880
Ru1 0.475 0.966 0.966
Ru2 0.966 0.475 0.966
Ru3 0.966 0.966 0.475


11.
Below is a geometry-optimized NaB2Pt structure, with properties calculated at the PBE level.

Output
For the formation energy, the calculation gives 0.75 eV per atom. As for the total moment: 0.000 μB per atom. Its volume is 43.7 Å³/cell. The density of states at the Fermi level comes out at 1.25 states/eV per cell. The excess energy over the best structure of this formula in the dataset is 515 meV per atom.

a b c (Å): 3.953 3.953 3.953
angles (deg): 60.00 60.00 60.00
Positions (direct):
Na1 0.000 0.000 0.000
B1 0.250 0.250 0.250
B2 0.750 0.750 0.750
Pt1 0.500 0.500 0.500


12.
Below is a geometry-optimized YPuAgAu structure, with properties calculated at the PBE level.

Output
For the formation energy, the calculation gives -0.33 eV per atom. As for the total moment: 1.441 μB per atom. Its volume is 97.0 Å³/cell. The density of states at the Fermi level comes out at 10.85 states/eV per cell.

a b c (Å): 5.157 5.157 5.157
angles (deg): 60.00 60.00 60.00
Positions (direct):
Y1 0.000 0.000 0.000
Pu1 0.500 0.500 0.500
Ag1 0.250 0.250 0.250
Au1 0.750 0.750 0.750